Below is a geometry-optimized Li2ZnHPb structure, with properties calculated at the GGA-PBE level.

Properties
Energy above the most stable polymorph in this dataset ... 0.00 eV/f.u.
V ... 75.4 Å³ per cell

```
data_Li2ZnHPb
_chemical_formula_sum 'Li2 Zn1 H1 Pb1'
_cell_length_a 4.468
_cell_length_b 4.468
_cell_length_c 3.777
_cell_angle_alpha 90.00
_cell_angle_beta 90.00
_cell_angle_gamma 90.00
_symmetry_space_group_name_H-M 'P 4/m m m'
_symmetry_Int_Tables_number 123
_symmetry_space_group_name_Hall '-P 4 2'
loop_
_atom_site_label
_atom_site_fract_x
_atom_site_fract_y
_atom_site_fract_z
Li1 0.000 0.500 0.000
Zn1 0.000 0.000 0.500
H1 0.000 0.000 0.000
Pb1 0.500 0.500 0.500
```